Entry 1:
A plane-wave DFT calculation with PBE was carried out for a geometry-optimized Ac5Er4In4 structure.

As for the energy relative to the elements: -0.28 eV/atom. The calculation puts the size of the total moment at 0.00 μB per formula unit.

Cell: 13.467 13.467 5.037 Å, 90.00 90.00 90.00°
Space group I4/m (No. 87)
Unique sites:
Ac1 0.000 0.000 0.000 [2 per cell]
Ac2 0.127 0.202 0.500 [8 per cell]
Er1 0.080 0.599 0.500 [8 per cell]
In1 0.067 0.748 0.000 [8 per cell]

***

Entry 2:
A plane-wave DFT calculation with PBE was carried out for a geometry-optimized Ac2ErIn2 structure.

The calculation puts the energy relative to the lowest polymorph listed for this composition at 0.00 eV/f.u. As for the energy relative to the elements: -0.35 eV/atom. The calculation puts the size of the total moment at 0.00 μB per formula unit.

Cell: 12.922 5.085 12.212 Å, 90.00 119.19 90.00°
Space group C2/m (No. 12)
Unique sites:
Ac1 0.017 0.000 0.181 [4 per cell]
Ac2 0.186 0.000 0.603 [4 per cell]
Er1 0.214 0.500 0.870 [4 per cell]
In1 0.025 0.500 0.392 [4 per cell]
In2 0.132 0.500 0.072 [4 per cell]